1.
The following is a DFT calculation (PBE) of crystalline K3Dy2BiO6 at its relaxed geometry.

Lattice parameters (Å, degrees): 6.1103 10.5825 6.5979 90.00 108.00 90.00
Space group C2/m (No. 12)
Asymmetric unit:
K: 0.0000 0.0000 0.0000
K: 0.0000 0.3352 0.0000
Dy: 0.0000 0.1668 0.5000
Bi: 0.0000 0.5000 0.5000
O: 0.2156 0.0000 0.6907
O: 0.2376 0.3260 0.6907

Output
The value obtained for the total energy is -6.142 eV/atom. As for the spin magnetization: 0.00 μB per atom. The calculated volume is 16.91 Å³ per atom. For the raw formation energy, the calculation gives -2298 meV/atom.

=====

2.
The following is a DFT calculation (PBE) of crystalline K2Dy2BiO6 at its relaxed geometry.

Lattice parameters (Å, degrees): 6.0180 10.4268 6.6927 90.00 106.81 90.00
Space group C2/m (No. 12)
Asymmetric unit:
K: 0.0000 0.1660 0.0000
Dy: 0.0000 0.3345 0.5000
Bi: 0.0000 0.0000 0.5000
O: 0.2214 0.1704 0.6784
O: 0.2316 0.5000 0.6796

Output
The value obtained for the total energy is -6.378 eV/atom. As for the spin magnetization: 0.08 μB per atom. The calculated volume is 18.27 Å³ per atom. For the raw formation energy, the calculation gives -2284 meV/atom.

=====

3.
The following is a DFT calculation (PBE) of crystalline K3Dy3BiO8 at its relaxed geometry.

Lattice parameters (Å, degrees): 6.9536 6.9536 19.0405 90.00 90.00 120.00
Space group R-3m (No. 166, hexagonal axes)
Asymmetric unit:
K: 0.0000 0.5000 0.0000
Dy: 0.0000 0.5000 0.5000
Bi: 0.0000 0.0000 0.5000
O: 0.0000 0.0000 0.2263
O: 0.0047 0.5023 0.2271

Output
The value obtained for the total energy is -6.470 eV/atom. As for the spin magnetization: 0.00 μB per atom. The calculated volume is 17.72 Å³ per atom. For the raw formation energy, the calculation gives -2427 meV/atom.

=====

4.
The following is a DFT calculation (PBE) of crystalline K3DyBi2S6 at its relaxed geometry.

Lattice parameters (Å, degrees): 7.1540 12.3906 7.7669 90.00 107.88 90.00
Space group C2/m (No. 12)
Asymmetric unit:
K: 0.0000 0.0000 0.0000
K: 0.0000 0.3306 0.0000
Dy: 0.0000 0.5000 0.5000
Bi: 0.0000 0.1663 0.5000
S: 0.2314 0.3375 0.7068
S: 0.2442 0.0000 0.7074

Output
The value obtained for the total energy is -4.535 eV/atom. As for the spin magnetization: 0.00 μB per atom. The calculated volume is 27.30 Å³ per atom. For the raw formation energy, the calculation gives -1167 meV/atom.

=====

5.
The following is a DFT calculation (PBE) of crystalline K3Dy2BiS6 at its relaxed geometry.

Lattice parameters (Å, degrees): 7.0904 12.2807 7.7406 90.00 107.78 90.00
Space group C2/m (No. 12)
Asymmetric unit:
K: 0.0000 0.0000 0.0000
K: 0.0000 0.3357 0.0000
Dy: 0.0000 0.1669 0.5000
Bi: 0.0000 0.5000 0.5000
S: 0.2259 0.0000 0.7038
S: 0.2391 0.3290 0.7043

Output
The value obtained for the total energy is -4.958 eV/atom. As for the spin magnetization: 0.00 μB per atom. The calculated volume is 26.74 Å³ per atom. For the raw formation energy, the calculation gives -1530 meV/atom.

=====

6.
The following is a DFT calculation (PBE) of crystalline K4Dy3BiS8 at its relaxed geometry.

Lattice parameters (Å, degrees): 8.1682 8.1682 22.1085 90.00 90.00 120.00
Space group R-3m (No. 166, hexagonal axes)
Asymmetric unit:
K: 0.0000 0.0000 0.0000
K: 0.0000 0.5000 0.0000
Dy: 0.0000 0.5000 0.5000
Bi: 0.0000 0.0000 0.5000
S: 0.0000 0.0000 0.2336
S: 0.0073 0.5037 0.7653

Output
The value obtained for the total energy is -5.062 eV/atom. As for the spin magnetization: 0.00 μB per atom. The calculated volume is 26.61 Å³ per atom. For the raw formation energy, the calculation gives -1618 meV/atom.

=====

7.
The following is a DFT calculation (PBE) of crystalline K4Dy3BiSe8 at its relaxed geometry.

Lattice parameters (Å, degrees): 8.4877 8.4877 23.0747 90.00 90.00 120.00
Space group R-3m (No. 166, hexagonal axes)
Asymmetric unit:
K: 0.0000 0.0000 0.0000
K: 0.0000 0.5000 0.0000
Dy: 0.0000 0.5000 0.5000
Bi: 0.0000 0.0000 0.5000
Se: 0.0000 0.0000 0.2347
Se: 0.0067 0.5034 0.7643

Output
The value obtained for the total energy is -4.646 eV/atom. As for the spin magnetization: 0.00 μB per atom. The calculated volume is 29.99 Å³ per atom. For the raw formation energy, the calculation gives -1524 meV/atom.

=====

8.
The following is a DFT calculation (PBE) of crystalline K3Dy2BiSe6 at its relaxed geometry.

Lattice parameters (Å, degrees): 7.3692 12.7641 8.0718 90.00 107.72 90.00
Space group C2/m (No. 12)
Asymmetric unit:
K: 0.0000 0.0000 0.0000
K: 0.0000 0.3359 0.0000
Dy: 0.0000 0.1670 0.5000
Bi: 0.0000 0.5000 0.5000
Se: 0.2278 0.0000 0.7065
Se: 0.2396 0.3295 0.7072

Output
The value obtained for the total energy is -4.552 eV/atom. As for the spin magnetization: 0.00 μB per atom. The calculated volume is 30.13 Å³ per atom. For the raw formation energy, the calculation gives -1445 meV/atom.